[1]
# Li3SmPb3

A relaxed Li3SmPb3 crystal (GGA-PBE, the Alexandria database).

Structure (extended XYZ):
```
14
Lattice="7.260 0.000 0.000 0.000 7.260 0.000 0.000 0.000 7.260" Properties=species:S:1:pos:R:3 pbc="T T T"
Li 0.000 1.815 3.630
Li 0.000 5.445 3.630
Li 1.815 3.630 0.000
Li 3.630 0.000 1.815
Li 3.630 0.000 5.445
Li 5.445 3.630 0.000
Sm 0.000 0.000 0.000
Sm 3.630 3.630 3.630
Pb 0.000 3.630 1.815
Pb 0.000 3.630 5.445
Pb 1.815 0.000 3.630
Pb 3.630 1.815 0.000
Pb 3.630 5.445 0.000
Pb 5.445 0.000 3.630
```

Summary:
- D(E_F) (states/eV per atom) = 0.964
- total energy (eV per atom) = -2.901
- E_form (meV per atom) = 182.7
- total moment (μB/f.u.) = 0.000

[2]
# NbSbSe2

A relaxed NbSbSe2 crystal (GGA-PBE, the Alexandria database).

Structure (extended XYZ):
```
16
Lattice="6.639 0.000 0.000 0.000 6.639 0.000 0.000 0.000 10.859" Properties=species:S:1:pos:R:3 pbc="T T T"
Nb 0.000 0.000 0.000
Nb 0.000 3.320 2.715
Nb 3.320 0.000 8.144
Nb 3.320 3.320 5.429
Sb 0.000 0.000 5.429
Sb 0.000 3.320 8.144
Sb 3.320 0.000 2.715
Sb 3.320 3.320 0.000
Se 1.271 1.660 1.357
Se 1.660 4.591 4.072
Se 1.660 5.368 9.501
Se 2.048 1.660 6.787
Se 4.591 4.980 6.787
Se 4.980 1.271 9.501
Se 4.980 2.048 4.072
Se 5.368 4.980 1.357
```

Summary:
- D(E_F) (states/eV per atom) = 1.039
- total energy (eV per atom) = -5.141
- uncorrected formation energy (eV per atom) = 0.1489
- total moment (μB/f.u.) = 0.314

[3]
# BeSi2Br

A relaxed BeSi2Br crystal (GGA-PBE, the Alexandria database).

Structure (extended XYZ):
```
4
Lattice="3.399 0.000 0.000 0.000 3.399 0.000 0.000 0.000 6.801" Properties=species:S:1:pos:R:3 pbc="T T T"
Be 0.000 0.000 0.000
Si 0.000 0.000 4.575
Si 1.699 1.699 4.192
Br 1.699 1.699 0.933
```

Summary:
- D(E_F) (states/eV per atom) = 0.381
- total energy (eV per atom) = -3.688
- offset from the most stable computed form (kcal/mol of atoms) = 7.51
- uncorrected formation energy (eV per atom) = 0.3732
- total moment (μB/f.u.) = 0.000

[4]
# LuZrTlRh

A relaxed LuZrTlRh crystal (GGA-PBE, the Alexandria database).

Structure (extended XYZ):
```
16
Lattice="6.985 0.000 0.000 0.000 6.985 0.000 0.000 0.000 6.985" Properties=species:S:1:pos:R:3 pbc="T T T"
Lu 0.000 0.000 0.000
Lu 0.000 3.493 3.493
Lu 3.493 0.000 3.493
Lu 3.493 3.493 0.000
Zr 0.000 0.000 3.493
Zr 0.000 3.493 0.000
Zr 3.493 0.000 0.000
Zr 3.493 3.493 3.493
Tl 1.746 1.746 5.239
Tl 1.746 5.239 1.746
Tl 5.239 1.746 1.746
Tl 5.239 5.239 5.239
Rh 1.746 1.746 1.746
Rh 1.746 5.239 5.239
Rh 5.239 1.746 5.239
Rh 5.239 5.239 1.746
```

Summary:
- D(E_F) (states/eV per atom) = 0.989
- total energy (eV per atom) = -6.043
- E_form (meV per atom) = -346.3
- total moment (μB/f.u.) = 0.000

[5]
# BaLi2GeBi

A relaxed BaLi2GeBi crystal (GGA-PBE, the Alexandria database).

Structure (extended XYZ):
```
5
Lattice="5.110 0.000 0.000 0.000 5.110 0.000 0.000 0.000 6.119" Properties=species:S:1:pos:R:3 pbc="T T T"
Ba 0.000 0.000 0.000
Li 0.000 2.555 3.059
Li 2.555 0.000 3.059
Ge 0.000 0.000 3.059
Bi 2.555 2.555 0.000
```

Summary:
- D(E_F) (states/eV per atom) = 0.741
- total energy (eV per atom) = -2.989
- E_form (meV per atom) = -139.1
- total moment (μB/f.u.) = 0.000

[6]
# Ca2LaMo

A relaxed Ca2LaMo crystal (GGA-PBE, the Alexandria database).

Structure (extended XYZ):
```
16
Lattice="7.791 0.000 0.000 0.000 7.791 0.000 0.000 0.000 7.791" Properties=species:S:1:pos:R:3 pbc="T T T"
Ca 1.948 1.948 1.948
Ca 1.948 1.948 5.843
Ca 1.948 5.843 1.948
Ca 1.948 5.843 5.843
Ca 5.843 1.948 1.948
Ca 5.843 1.948 5.843
Ca 5.843 5.843 1.948
Ca 5.843 5.843 5.843
La 0.000 0.000 0.000
La 0.000 3.895 3.895
La 3.895 0.000 3.895
La 3.895 3.895 0.000
Mo 0.000 0.000 3.895
Mo 0.000 3.895 0.000
Mo 3.895 0.000 0.000
Mo 3.895 3.895 3.895
```

Summary:
- D(E_F) (states/eV per atom) = 1.428
- total energy (eV per atom) = -4.221
- offset from the most stable computed form (kcal/mol of atoms) = 6.15
- E_form (meV per atom) = 719.6
- total moment (μB/f.u.) = 2.067

[7]
# Tb5ScAg4

A relaxed Tb5ScAg4 crystal (GGA-PBE, the Alexandria database).

Structure (extended XYZ):
```
10
Lattice="3.618 0.000 0.000 0.000 3.618 0.000 0.000 0.000 19.242" Properties=species:S:1:pos:R:3 pbc="T T T"
Tb 0.000 0.000 0.000
Tb 0.000 0.000 3.716
Tb 0.000 0.000 7.419
Tb 0.000 0.000 11.823
Tb 0.000 0.000 15.525
Sc 1.809 1.809 9.621
Ag 1.809 1.809 1.837
Ag 1.809 1.809 5.587
Ag 1.809 1.809 13.655
Ag 1.809 1.809 17.405
```

Summary:
- D(E_F) (states/eV per atom) = 0.845
- total energy (eV per atom) = -4.323
- E_form (meV per atom) = -234.1
- total moment (μB/f.u.) = 0.000

[8]
# NdDy4

A relaxed NdDy4 crystal (GGA-PBE, the Alexandria database).

Structure (extended XYZ):
```
5
Lattice="5.647 0.000 0.000 0.000 5.647 0.000 0.000 0.000 5.647" Properties=species:S:1:pos:R:3 pbc="T T T"
Nd 0.000 0.000 0.000
Dy 0.000 0.000 2.823
Dy 0.000 2.823 0.000
Dy 2.823 0.000 0.000
Dy 2.823 2.823 2.823
```

Summary:
- D(E_F) (states/eV per atom) = 1.588
- total energy (eV per atom) = -3.955
- offset from the most stable computed form (kcal/mol of atoms) = 15.31
- E_form (meV per atom) = 680.3
- total moment (μB/f.u.) = 0.000

[9]
# AcScAl4

A relaxed AcScAl4 crystal (GGA-PBE, the Alexandria database).

Structure (extended XYZ):
```
6
Lattice="0.000 4.014 4.014 4.014 0.000 4.014 4.014 4.014 0.000" Properties=species:S:1:pos:R:3 pbc="T T T"
Ac 0.000 0.000 0.000
Sc 2.007 2.007 2.007
Al 5.014 3.013 3.013
Al 3.013 5.014 3.013
Al 3.013 3.013 5.014
Al 5.014 5.014 5.014
```

Summary:
- D(E_F) (states/eV per atom) = 0.965
- total energy (eV per atom) = -4.563
- E_form (meV per atom) = -327.9
- total moment (μB/f.u.) = 0.000

[10]
# ScMo14W

A relaxed ScMo14W crystal (GGA-PBE, the Alexandria database).

Structure (extended XYZ):
```
16
Lattice="3.173 -4.495 0.000 3.173 4.495 0.000 0.000 0.000 8.980" Properties=species:S:1:pos:R:3 pbc="T T T"
Sc 0.000 0.000 0.000
Mo 0.000 0.000 4.490
Mo 1.587 2.247 0.000
Mo 1.587 2.247 4.490
Mo 3.173 2.250 2.247
Mo 3.173 2.250 6.733
Mo 1.602 0.000 2.290
Mo 1.602 0.000 6.690
Mo 1.587 -2.247 0.000
Mo 1.587 -2.247 4.490
Mo 3.173 0.000 4.490
Mo 4.745 0.000 2.290
Mo 4.745 0.000 6.690
Mo 3.173 -2.250 2.247
Mo 3.173 -2.250 6.733
W 3.173 0.000 0.000
```

Summary:
- D(E_F) (states/eV per atom) = 0.478
- total energy (eV per atom) = -10.700
- E_form (meV per atom) = -17.9
- total moment (μB/f.u.) = 0.000

[11]
# TiTlAu

A relaxed TiTlAu crystal (GGA-PBE, the Alexandria database).

Structure (extended XYZ):
```
6
Lattice="3.111 0.000 0.000 1.546 5.566 0.000 1.548 2.498 7.026" Properties=species:S:1:pos:R:3 pbc="T T T"
Ti 1.551 2.428 3.224
Ti 4.654 5.636 3.802
Tl 3.094 6.663 6.160
Tl 3.112 1.401 0.867
Au 3.103 3.682 5.198
Au 3.102 4.382 1.829
```

Summary:
- D(E_F) (states/eV per atom) = 0.733
- total energy (eV per atom) = -4.576
- E_form (meV per atom) = -63.1
- total moment (μB/f.u.) = 0.000

[12]
# Be3BRu

A relaxed Be3BRu crystal (GGA-PBE, the Alexandria database).

Structure (extended XYZ):
```
5
Lattice="4.121 0.000 0.000 0.000 4.121 0.000 0.000 0.000 4.121" Properties=species:S:1:pos:R:3 pbc="T T T"
Be 0.000 0.000 2.061
Be 0.000 2.061 0.000
Be 2.061 0.000 0.000
B 2.061 2.061 2.061
Ru 0.000 0.000 0.000
```

Summary:
- D(E_F) (states/eV per atom) = 0.346
- total energy (eV per atom) = -3.978
- offset from the most stable computed form (kcal/mol of atoms) = 37.25
- E_form (meV per atom) = 1447.9
- total moment (μB/f.u.) = 0.000